No. 1
# Os2Pt2O5

A geometry-optimized Os2Pt2O5 structure (PBE, OQMD).

**Total magnetization**: 1.026 μB per formula unit

a b c (Å): 3.3849 3.3849 8.2869
angles (deg): 90.00 90.00 90.00
Closest atoms and distances in Å follow each position.
Space group P4/mmm (No. 123)
One atom of each set of equivalent atoms:
Os (0.0000, 0.0000, 0.0000) x1  8 Pt 2.73
Os (0.0000, 0.0000, 0.5000) x1  12 O 2.19-2.39
Pt (0.5000, 0.5000, 0.1577) x2  4 O 2.23
O (0.0000, 0.5000, 0.3331) x4  6 O 2.19-2.39, 2 Os 2.19, 2 Pt 2.23
O (0.5000, 0.5000, 0.5000) x1  8 O 2.19, 4 Os 2.39



No. 2
# KHfPdSeS2

A geometry-optimized KHfPdSeS2 structure (PBE, OQMD).

**Total magnetization**: 0.005 μB per formula unit

a b c (Å): 8.3173 3.7165 9.7655
angles (deg): 90.00 110.60 90.00
Closest atoms and distances in Å follow each position.
Space group P2_1/m (No. 11)
One atom of each set of equivalent atoms:
K (0.2217, 0.2500, 0.2455) x2  4 S 3.16-3.23, 2 Se 3.44
Hf (0.3187, 0.7500, 0.8422) x2  5 S 2.55-2.61, 1 Se 2.70
Pd (0.1083, 0.2500, 0.5999) x2  2 Se 2.47, 1 S 2.50
Se (0.2800, 0.7500, 0.5559) x2  2 Pd 2.47, 1 Hf 2.70
S (0.1171, 0.2500, 0.8584) x2  1 Pd 2.50, 2 Hf 2.55
S (0.4511, 0.7500, 0.1266) x2  3 Hf 2.60-2.61



No. 3
# GdOsNO

A geometry-optimized GdOsNO structure (PBE, OQMD).

**Total magnetization**: 0.000 μB per formula unit

a b c (Å): 3.5961 6.2955 5.2824
angles (deg): 90.00 90.00 90.00
Closest atoms and distances in Å follow each position.
Space group Pmc2_1 (No. 26)
One atom of each set of equivalent atoms:
Gd (0.0000, 0.1938, 0.0000) x2  2 O 2.22-2.25, 2 N 2.30
Os (0.5000, 0.4030, 0.4203) x2  2 N 1.87-1.96
N (0.5000, 0.3247, 0.7793) x2  2 Os 1.87-1.96
O (0.0000, 0.1566, 0.4172) x2  2 Gd 2.22-2.25, 2 Os 2.38



No. 4
# PrReB

A geometry-optimized PrReB structure (PBE, OQMD).

**Total magnetization**: 1.293 μB per formula unit

a b c (Å): 6.4656 6.4656 6.4656
angles (deg): 90.00 90.00 90.00
Closest atoms and distances in Å follow each position.
Space group F-43m (No. 216)
One atom of each set of equivalent atoms:
Pr (0.0000, 0.0000, 0.0000) x4  4 Re 2.80, 4 B 2.80
Re (0.2500, 0.2500, 0.2500) x4  4 Pr 2.80
B (0.2500, 0.2500, 0.7500) x4  4 Pr 2.80



No. 5
# ZnCu5Sn2

A geometry-optimized ZnCu5Sn2 structure (PBE, OQMD).

a b c (Å): 4.3956 4.3956 6.1738
angles (deg): 90.00 90.00 90.00
Closest atoms and distances in Å follow each position.
Space group P4/mmm (No. 123)
One atom of each set of equivalent atoms:
Zn (0.0000, 0.0000, 0.0000) x1  8 Cu 2.70
Cu (0.0000, 0.5000, 0.2530) x4  4 Sn 2.68-2.70, 2 Cu 2.68, 2 Zn 2.70
Cu (0.5000, 0.5000, 0.5000) x1  8 Cu 2.68
Sn (0.0000, 0.0000, 0.5000) x1  8 Cu 2.68
Sn (0.5000, 0.5000, 0.0000) x1  8 Cu 2.70



No. 6
# Ag7Te2

A geometry-optimized Ag7Te2 structure (PBE, OQMD).

a b c (Å): 3.0324 3.0324 32.3335
angles (deg): 90.00 90.00 120.00
Closest atoms and distances in Å follow each position.
Space group P-3m1 (No. 164)
One atom of each set of equivalent atoms:
Ag (0.0000, 0.0000, 0.0000) x1  12 Ag 2.89-3.03
Ag (0.0000, 0.0000, 0.2132) x2  9 Ag 2.89-3.03, 3 Te 3.18
Ag (0.3333, 0.6667, 0.1421) x2  12 Ag 2.89-3.03
Ag (0.3333, 0.6667, 0.9291) x2  12 Ag 2.89-3.03
Te (0.3333, 0.6667, 0.7048) x2  6 Te 3.03, 3 Ag 3.18



Asked for energy across the records above, the calculation gives -54.05 -70.36 -65.11 -68.47 -27.17 -24.88 eV per cell in order.